1.
A plane-wave DFT calculation with PBE-GGA was carried out for a relaxed LiZrGaPt crystal.

Unit cell a=4.5516 b=4.5516 c=4.5516 alpha=60.00 beta=60.00 gamma=60.00
With the nearest neighbours (Å) after each atom.
Fractional positions:
Ga 0.0000 0.0000 0.0000  4 Li 2.79, 4 Zr 2.79
Li 0.7500 0.7500 0.7500  4 Pt 2.79, 4 Ga 2.79
Pt 0.5000 0.5000 0.5000  4 Zr 2.79, 4 Li 2.79
Zr 0.2500 0.2500 0.2500  4 Pt 2.79, 4 Ga 2.79

Excess energy over the best structure of this formula in the dataset   0.1580 eV/atom
Space-group type   No. 216

2.
A plane-wave DFT calculation with PBE-GGA was carried out for a relaxed CuAg3 crystal.

Unit cell a=5.7392 b=8.0069 c=11.4703 alpha=89.94 beta=89.98 gamma=89.99
With the nearest neighbours (Å) after each atom.
Fractional positions:
Ag 0.0045 0.4890 0.0032  2 Cu 2.78-2.84, 10 Ag 2.80-3.00
Ag 0.0133 0.0104 0.0047  5 Cu 2.69-2.99, 7 Ag 2.82-2.93
Ag 0.4953 0.4925 0.0101  3 Cu 2.74-2.80, 9 Ag 2.82-2.96
Ag 0.7473 0.7642 0.1252  8 Ag 2.76-3.00, 4 Cu 2.78-2.91
Ag 0.2562 0.7588 0.1330  5 Cu 2.68-2.83, 7 Ag 2.82-3.00
Ag 0.7406 0.2373 0.1335  6 Cu 2.72-2.97, 6 Ag 2.75-2.93
Ag 0.0057 0.5015 0.2475  8 Ag 2.80-2.93, 4 Cu 2.81-2.92
Ag 0.2553 0.2455 0.3595  4 Cu 2.69-2.78, 8 Ag 2.81-2.99
Ag 0.7446 0.7557 0.3660  7 Ag 2.76-2.99, 5 Cu 2.81-2.91
Ag 0.7500 0.2456 0.3734  8 Ag 2.75-2.90, 4 Cu 2.84-2.90
Ag 0.4972 0.5023 0.4909  3 Cu 2.77-2.89, 9 Ag 2.85-3.00
Ag 0.0021 0.9976 0.4939  3 Cu 2.80-2.89, 9 Ag 2.82-2.93
Ag 0.4988 0.9981 0.4953  3 Cu 2.81-2.86, 9 Ag 2.82-2.96
Ag 0.9983 0.5008 0.4964  2 Cu 2.85-2.90, 10 Ag 2.85-2.97
Ag 0.2521 0.2507 0.6203  9 Ag 2.82-2.99, 3 Cu 2.85-3.04
Ag 0.2494 0.7485 0.6236  11 Ag 2.85-2.94, 1 Cu 2.93
Ag 0.7486 0.7491 0.6269  12 Ag 2.87-2.99
Ag 0.9992 0.0113 0.7491  2 Cu 2.81-2.85, 10 Ag 2.81-2.94
Ag 0.4991 0.4900 0.7521  10 Ag 2.82-3.00, 2 Cu 2.83-2.84
Ag 0.9999 0.4877 0.7523  2 Cu 2.83-2.87, 10 Ag 2.83-2.96
Ag 0.4963 0.0090 0.7531  9 Ag 2.77-2.96, 3 Cu 2.79-2.90
Ag 0.7486 0.7547 0.8795  11 Ag 2.82-2.96, 1 Cu 2.91
Ag 0.2527 0.7527 0.8797  11 Ag 2.85-2.96, 1 Cu 2.87
Ag 0.7428 0.2449 0.8799  4 Cu 2.77-2.97, 8 Ag 2.77-2.91
Cu 0.4917 0.0099 0.0056  3 Cu 2.65-2.76, 8 Ag 2.74-2.91
Cu 0.2583 0.2393 0.1249  5 Cu 2.65-2.89, 6 Ag 2.69-2.91
Cu 0.4868 0.9997 0.2465  7 Ag 2.68-2.88, 4 Cu 2.71-2.76
Cu 0.4961 0.5026 0.2492  10 Ag 2.74-2.92, 2 Cu 2.82-2.89
Cu 0.0125 0.9992 0.2502  8 Ag 2.72-2.86, 4 Cu 2.72-3.02
Cu 0.2521 0.7557 0.3684  9 Ag 2.70-2.93, 3 Cu 2.74-2.82
Cu 0.7482 0.2501 0.6209  12 Ag 2.81-2.97
Cu 0.2565 0.2456 0.8851  2 Cu 2.70-2.75, 9 Ag 2.72-2.95

Energy of formation from the pure elements   25 kJ/mol of formula units
Space-group type   No. 1

3.
A plane-wave DFT calculation with PBE-GGA was carried out for a relaxed Hf2InPt2 crystal.

Unit cell a=7.1488 b=7.1488 c=7.1488 alpha=147.35 beta=147.35 gamma=46.84
With the nearest neighbours (Å) after each atom.
Fractional positions:
Hf 0.3848 0.3848 0.0000  4 Pt 2.68
Hf 0.6152 0.6152 0.0000  4 Pt 2.68
In 0.0000 0.0000 0.0000  8 Hf 3.22
Pt 0.7500 0.2500 0.5000  4 Hf 2.68, 4 Pt 2.84
Pt 0.2500 0.7500 0.5000  4 Hf 2.68, 4 Pt 2.84

Space-group type   No. 139
VASP energy   -0.269 Ha/atom

4.
A plane-wave DFT calculation with PBE-GGA was carried out for a relaxed PrTm crystal.

Unit cell a=3.6324 b=3.6325 c=5.7772 alpha=90.00 beta=90.00 gamma=120.00
With the nearest neighbours (Å) after each atom.
Fractional positions:
Pr 0.6667 0.3333 0.7500  6 Tm 3.57, 6 Pr 3.63
Tm 0.3333 0.6667 0.2500  6 Pr 3.57, 6 Tm 3.63

Energy of formation from the pure elements   9 kJ/mol of formula units
Excess energy over the best structure of this formula in the dataset   0.0000 eV/atom
Space-group type   No. 187

5.
A plane-wave DFT calculation with PBE-GGA was carried out for a relaxed GdYS2 crystal.

Unit cell a=3.9285 b=3.9285 c=5.5577 alpha=90.00 beta=90.00 gamma=90.00
With the nearest neighbours (Å) after each atom.
Fractional positions:
Gd 0.0000 0.0000 0.5000  6 S 2.78
S 0.0000 0.0000 0.0000  4 Y 2.78, 2 Gd 2.78
S 0.5000 0.5000 0.5000  4 Gd 2.78, 2 Y 2.78
Y 0.5000 0.5000 0.0000  6 S 2.78

Space-group type   No. 123
VASP energy   -0.252 Ha/atom

6.
A plane-wave DFT calculation with PBE-GGA was carried out for a relaxed Nb3H2 crystal.

Unit cell a=5.6627 b=5.6627 c=5.8431 alpha=120.66 beta=120.66 gamma=50.71
With the nearest neighbours (Å) after each atom.
Fractional positions:
H 0.2619 0.7383 0.0003  4 Nb 1.93-1.94
H 0.2617 0.7381 0.4997  4 Nb 1.93-1.94
H 0.7383 0.2619 0.5003  4 Nb 1.93-1.94
H 0.7381 0.2617 0.9997  4 Nb 1.93-1.94
Nb 0.6750 0.6749 0.0894  2 H 1.94
Nb 0.9999 0.0001 0.2500  4 H 1.93-1.94
Nb 0.3251 0.3250 0.4106  2 H 1.94
Nb 0.6749 0.6750 0.5894  2 H 1.94
Nb 0.0001 0.9999 0.7500  4 H 1.93-1.94
Nb 0.3250 0.3251 0.9106  2 H 1.94

Space-group type   No. 12
VASP energy   -0.279 Ha/atom

7.
A plane-wave DFT calculation with PBE-GGA was carried out for a relaxed CsReAgO3 crystal.

Unit cell a=10.7296 b=3.2463 c=12.9981 alpha=90.00 beta=90.00 gamma=90.00
With the nearest neighbours (Å) after each atom.
Fractional positions:
Ag 0.4034 0.0000 0.0244  1 O 2.26
Ag 0.9034 0.5000 0.4756  1 O 2.26
Ag 0.0966 0.0000 0.5244  1 O 2.26
Ag 0.5966 0.5000 0.9756  1 O 2.26
Cs 0.5922 0.5000 0.2469  5 O 2.97-3.05, 2 Cs 3.25
Cs 0.0922 0.0000 0.2531  5 O 2.97-3.05, 2 Cs 3.25
Cs 0.9078 0.5000 0.7469  5 O 2.97-3.05, 2 Cs 3.25
Cs 0.4078 0.0000 0.7531  5 O 2.97-3.05, 2 Cs 3.25
O 0.1937 0.0000 0.0369  2 Re 2.04, 1 Ag 2.26
O 0.9863 0.5000 0.0749  3 Re 2.07-2.11
O 0.7988 0.0000 0.1605  1 Re 1.76
O 0.2988 0.5000 0.3395  1 Re 1.76
O 0.4863 0.0000 0.4251  3 Re 2.07-2.11
O 0.6937 0.5000 0.4631  2 Re 2.04, 1 Ag 2.26
O 0.3063 0.0000 0.5369  2 Re 2.04, 1 Ag 2.26
O 0.5137 0.5000 0.5749  3 Re 2.07-2.11
O 0.7012 0.0000 0.6605  1 Re 1.76
O 0.2012 0.5000 0.8395  1 Re 1.76
O 0.0137 0.0000 0.9251  3 Re 2.07-2.11
O 0.8063 0.5000 0.9631  2 Re 2.04, 1 Ag 2.26
Re 0.8740 0.0000 0.0397  1 O 1.76
Re 0.3740 0.5000 0.4603  1 O 1.76
Re 0.6260 0.0000 0.5397  1 O 1.76
Re 0.1260 0.5000 0.9603  1 O 1.76

Space-group type   No. 62
VASP energy   -0.229 Ha/atom

8.
A plane-wave DFT calculation with PBE-GGA was carried out for a relaxed AsPdW crystal.

Unit cell a=4.2779 b=4.2779 c=4.2779 alpha=60.00 beta=60.00 gamma=60.00
With the nearest neighbours (Å) after each atom.
Fractional positions:
As 0.2500 0.2500 0.2500  4 W 2.62
Pd 0.7500 0.7500 0.7500  4 W 2.62
W 0.0000 0.0000 0.0000  4 Pd 2.62, 4 As 2.62

Excess energy over the best structure of this formula in the dataset   0.0597 eV/atom
Space-group type   No. 216

9.
A plane-wave DFT calculation with PBE-GGA was carried out for a relaxed NaSmGa crystal.

Unit cell a=4.9814 b=4.9814 c=4.9814 alpha=60.00 beta=60.00 gamma=60.00
With the nearest neighbours (Å) after each atom.
Fractional positions:
Ga 0.0000 0.0000 0.0000  4 Sm 3.05, 4 Na 3.05
Na 0.2500 0.2500 0.2500  4 Ga 3.05
Sm 0.7500 0.7500 0.7500  4 Ga 3.05

Excess energy over the best structure of this formula in the dataset   0.0000 eV/atom
Space-group type   No. 216

10.
A plane-wave DFT calculation with PBE-GGA was carried out for a relaxed GaCuTe2 crystal.

Unit cell a=5.0960 b=5.0960 c=5.0960 alpha=60.00 beta=60.00 gamma=60.00
With the nearest neighbours (Å) after each atom.
Fractional positions:
Cu 0.2500 0.2500 0.2500  4 Ga 3.12, 4 Te 3.12
Ga 0.5000 0.5000 0.5000  4 Cu 3.12, 4 Te 3.12
Te 0.0000 0.0000 0.0000  4 Te 3.12, 4 Cu 3.12
Te 0.7500 0.7500 0.7500  4 Te 3.12, 4 Ga 3.12

Space-group type   No. 216
VASP energy   -0.105 Ha/atom

11.
A plane-wave DFT calculation with PBE-GGA was carried out for a relaxed ZnMo crystal.

Unit cell a=4.3867 b=6.2517 c=4.3700 alpha=90.00 beta=90.00 gamma=90.00
With the nearest neighbours (Å) after each atom.
Fractional positions:
Mo 0.9196 0.0000 0.0000  4 Mo 2.67, 4 Zn 2.72-2.74
Mo 0.4153 0.0000 0.5000  4 Mo 2.65-2.69, 4 Zn 2.72
Mo 0.9097 0.2443 0.5000  4 Mo 2.65-2.69, 4 Zn 2.71-2.72
Mo 0.9097 0.7557 0.5000  4 Mo 2.65-2.69, 4 Zn 2.71-2.72
Zn 0.4228 0.2600 0.0000  4 Zn 2.65-2.67, 4 Mo 2.72-2.74
Zn 0.9253 0.5000 0.0000  4 Zn 2.65-2.67, 4 Mo 2.71
Zn 0.4228 0.7400 0.0000  4 Zn 2.65-2.67, 4 Mo 2.72-2.74
Zn 0.4082 0.5000 0.5000  4 Zn 2.65, 4 Mo 2.71-2.72

Energy of formation from the pure elements   26 kJ/mol of formula units
Excess energy over the best structure of this formula in the dataset   0.0718 eV/atom
Space-group type   No. 25

12.
A plane-wave DFT calculation with PBE-GGA was carried out for a relaxed BaAgPO crystal.

Unit cell a=6.4871 b=6.4871 c=4.7402 alpha=90.00 beta=90.00 gamma=90.00
With the nearest neighbours (Å) after each atom.
Fractional positions:
Ag 0.2500 0.2500 0.0023  2 P 2.37
Ag 0.7500 0.7500 0.9977  2 P 2.37
Ba 0.7500 0.2500 0.5000  2 O 2.37
Ba 0.2500 0.7500 0.5000  2 O 2.37
O 0.7500 0.2500 0.0000  2 Ba 2.37
O 0.2500 0.7500 0.0000  2 Ba 2.37
P 0.7500 0.7500 0.4977  2 Ag 2.37
P 0.2500 0.2500 0.5023  2 Ag 2.37

Excess energy over the best structure of this formula in the dataset   0.5226 eV/atom
Space-group type   No. 129

> Which formula does entry 6 have?

Nb3H2

> Number 12 is which compound?

BaAgPO